[1]
# SiP2Se PBE optimized geometry
# uncorrected formation energy: 275 meV per atom
# energy relative to the lowest polymorph listed for this composition: 31.6 kJ/mol of atoms
# raw total energy: -4.657 eV/atom
# density: 3.45 Mg/m³
# magnetic moment: 0.000 μB per formula unit
data_SiP2Se
_chemical_formula_sum 'Si4 P8 Se4'
_cell_length_a 6.225
_cell_length_b 6.225
_cell_length_c 8.401
_cell_angle_alpha 90.00
_cell_angle_beta 90.00
_cell_angle_gamma 90.00
_space_group_name_H-M_alt 'I -4 2 d'
_space_group_IT_number 122
_space_group_name_Hall 'I -4 2bw'
loop_
_atom_site_label
_atom_site_type_symbol
_atom_site_fract_x
_atom_site_fract_y
_atom_site_fract_z
Si1 Si 0.000 0.000 0.000
P1 P 0.208 0.250 0.125
Se1 Se 0.000 0.000 0.500

---

[2]
# ErBi2Pd8 PBE optimized geometry
# energy relative to the lowest polymorph listed for this composition: 0.0 kJ/mol of atoms
# raw total energy: -5.357 eV/atom
# density: 11.93 Mg/m³
# magnetic moment: 0.000 μB per formula unit
# energy of formation from the pure elements: -0.460 eV/atom
data_ErBi2Pd8
_chemical_formula_sum 'Er2 Bi4 Pd16'
_cell_length_a 15.248
_cell_length_b 4.160
_cell_length_c 6.671
_cell_angle_alpha 90.00
_cell_angle_beta 109.08
_cell_angle_gamma 90.00
_space_group_name_H-M_alt 'C 1 2/m 1'
_space_group_IT_number 12
_space_group_name_Hall '-C 2y'
loop_
_atom_site_label
_atom_site_type_symbol
_atom_site_fract_x
_atom_site_fract_y
_atom_site_fract_z
Er1 Er 0.000 0.000 0.000
Bi1 Bi 0.208 0.500 0.660
Pd1 Pd 0.038 0.500 0.732
Pd2 Pd 0.085 0.000 0.455
Pd3 Pd 0.138 0.500 0.190
Pd4 Pd 0.177 0.000 0.921

---

[3]
# AlTcGe2H PBE optimized geometry
# raw total energy: -4.966 eV/atom
# density: 5.39 Mg/m³
# magnetic moment: 0.000 μB per formula unit
data_AlTcGe2H
_chemical_formula_sum 'Al1 Tc1 Ge2 H1'
_cell_length_a 4.858
_cell_length_b 4.858
_cell_length_c 3.541
_cell_angle_alpha 90.00
_cell_angle_beta 90.00
_cell_angle_gamma 90.00
_space_group_name_H-M_alt 'P 4/m m m'
_space_group_IT_number 123
_space_group_name_Hall '-P 4 2'
loop_
_atom_site_label
_atom_site_type_symbol
_atom_site_fract_x
_atom_site_fract_y
_atom_site_fract_z
Al1 Al 0.000 0.000 0.000
Tc1 Tc 0.500 0.500 0.500
Ge1 Ge 0.000 0.500 0.500
H1 H 0.500 0.500 0.000

---

[4]
# TcBPd3 PBE optimized geometry
# energy relative to the lowest polymorph listed for this composition: 160.4 kJ/mol of atoms
# raw total energy: -4.522 eV/atom
# density: 6.53 Mg/m³
# magnetic moment: 0.000 μB per formula unit
# energy of formation from the pure elements: 2.002 eV/atom
data_TcBPd3
_chemical_formula_sum 'Tc1 B1 Pd3'
_cell_length_a 4.776
_cell_length_b 4.776
_cell_length_c 4.776
_cell_angle_alpha 90.00
_cell_angle_beta 90.00
_cell_angle_gamma 90.00
_space_group_name_H-M_alt 'P m -3 m'
_space_group_IT_number 221
_space_group_name_Hall '-P 4 2 3'
loop_
_atom_site_label
_atom_site_type_symbol
_atom_site_fract_x
_atom_site_fract_y
_atom_site_fract_z
Tc1 Tc 0.000 0.000 0.000
B1 B 0.500 0.500 0.500
Pd1 Pd 0.000 0.000 0.500

---

[5]
# CoNi2PdPt PBE optimized geometry
# raw total energy: -5.776 eV/atom
# density: 11.42 Mg/m³
# magnetic moment: 3.962 μB per formula unit
# energy of formation from the pure elements: 0.204 eV/atom
data_CoNi2PdPt
_chemical_formula_sum 'Co4 Ni8 Pd4 Pt4'
_cell_length_a 3.772
_cell_length_b 9.377
_cell_length_c 7.858
_cell_angle_alpha 90.00
_cell_angle_beta 90.00
_cell_angle_gamma 90.00
_space_group_name_H-M_alt 'C m c m'
_space_group_IT_number 63
_space_group_name_Hall '-C 2c 2'
loop_
_atom_site_label
_atom_site_type_symbol
_atom_site_fract_x
_atom_site_fract_y
_atom_site_fract_z
Co1 Co 0.000 0.000 0.000
Ni1 Ni 0.000 0.328 0.029
Pd1 Pd 0.000 0.183 0.750
Pt1 Pt 0.000 0.468 0.750

---

[6]
# Ho5MgHg4 PBE optimized geometry
# raw total energy: -2.968 eV/atom
# density: 10.68 Mg/m³
# magnetic moment: 0.000 μB per formula unit
# energy of formation from the pure elements: -0.399 eV/atom
data_Ho5MgHg4
_chemical_formula_sum 'Ho5 Mg1 Hg4'
_cell_length_a 3.724
_cell_length_b 3.724
_cell_length_c 18.506
_cell_angle_alpha 90.00
_cell_angle_beta 90.00
_cell_angle_gamma 90.00
_space_group_name_H-M_alt 'P 4/m m m'
_space_group_IT_number 123
_space_group_name_Hall '-P 4 2'
loop_
_atom_site_label
_atom_site_type_symbol
_atom_site_fract_x
_atom_site_fract_y
_atom_site_fract_z
Ho1 Ho 0.000 0.000 0.000
Ho2 Ho 0.000 0.000 0.199
Ho3 Ho 0.000 0.000 0.397
Mg1 Mg 0.500 0.500 0.500
Hg1 Hg 0.500 0.500 0.100
Hg2 Hg 0.500 0.500 0.302